Entry 1:
{"formula": "Tb4Pm9Er11", "functional": "PBE-GGA", "state": "relaxed", "lattice": [[3.704, 0.000, 0.000], [0.000, 13.929, -5.955], [0.000, -0.002, 15.148]], "species": ["Tb", "Tb", "Tb", "Tb", "Pm", "Pm", "Pm", "Pm", "Pm", "Pm", "Pm", "Pm", "Pm", "Er", "Er", "Er", "Er", "Er", "Er", "Er", "Er", "Er", "Er", "Er"], "frac_coords": [[0.500, 0.554, 0.755], [0.500, 0.446, 0.245], [0.500, 0.755, 0.554], [0.500, 0.245, 0.446], [0.500, 0.631, 0.162], [0.500, 0.369, 0.838], [0.500, 0.162, 0.631], [0.500, 0.838, 0.369], [0.500, 0.787, 0.934], [0.500, 0.213, 0.066], [0.500, 0.934, 0.787], [0.500, 0.066, 0.213], [0.500, 0.500, 0.500], [0.000, 0.594, 0.954], [0.000, 0.406, 0.046], [0.000, 0.954, 0.594], [0.000, 0.046, 0.406], [0.000, 0.634, 0.366], [0.000, 0.366, 0.634], [0.000, 0.840, 0.160], [0.000, 0.160, 0.840], [0.000, 0.000, 0.000], [0.000, 0.711, 0.711], [0.000, 0.289, 0.289]], "spacegroup": "No. 65"}



Entry 2:
{"formula": "Tb3Pm4Er2", "functional": "PBE-GGA", "state": "relaxed", "lattice": [[-0.819, 1.119, -3.317], [3.472, -5.092, -0.626], [-8.032, -12.683, -2.295]], "species": ["Tb", "Tb", "Tb", "Pm", "Pm", "Pm", "Pm", "Er", "Er"], "frac_coords": [[0.332, 0.665, 0.556], [0.000, 0.000, 0.000], [0.668, 0.335, 0.444], [0.667, 0.334, 0.111], [0.001, 0.001, 0.666], [0.999, 0.999, 0.334], [0.333, 0.666, 0.889], [0.333, 0.667, 0.223], [0.667, 0.333, 0.777]], "spacegroup": "No. 12", "relative_energy_mev_per_atom": 0}



Entry 3:
{"formula": "TbPm7Er2", "functional": "PBE-GGA", "state": "relaxed", "lattice": [[5.649, 0.000, 0.000], [0.000, 9.289, -0.525], [0.000, -4.659, 8.053]], "species": ["Tb", "Pm", "Pm", "Pm", "Pm", "Pm", "Pm", "Pm", "Er", "Er"], "frac_coords": [[0.000, 0.000, 0.000], [0.000, 0.781, 0.219], [0.000, 0.219, 0.781], [0.500, 0.065, 0.292], [0.500, 0.935, 0.708], [0.500, 0.292, 0.065], [0.500, 0.708, 0.935], [0.500, 0.500, 0.500], [0.500, 0.705, 0.295], [0.500, 0.295, 0.705]], "spacegroup": "No. 65"}



Entry 4:
{"formula": "Tb2Pm3Er7", "functional": "PBE-GGA", "state": "relaxed", "lattice": [[5.615, 0.000, 0.000], [0.000, 6.054, -0.280], [0.000, -0.513, 12.163]], "species": ["Tb", "Tb", "Pm", "Pm", "Pm", "Er", "Er", "Er", "Er", "Er", "Er", "Er"], "frac_coords": [[0.500, 0.639, 0.290], [0.500, 0.361, 0.710], [0.500, 0.500, 0.000], [0.000, 0.973, 0.323], [0.000, 0.027, 0.677], [0.500, 0.226, 0.440], [0.500, 0.774, 0.560], [0.000, 0.454, 0.173], [0.000, 0.000, 0.000], [0.000, 0.546, 0.827], [0.500, 0.907, 0.840], [0.500, 0.093, 0.160]], "spacegroup": "No. 10", "relative_energy_mev_per_atom": 220}



Entry 5:
{"formula": "TbPm3Er6", "functional": "PBE-GGA", "state": "relaxed", "lattice": [[9.388, -0.149, 0.319], [-3.759, 7.496, -4.241], [1.785, -1.823, 5.593]], "species": ["Tb", "Pm", "Pm", "Pm", "Er", "Er", "Er", "Er", "Er", "Er"], "frac_coords": [[0.500, 0.500, 0.000], [0.798, 0.399, 0.400], [0.202, 0.601, 0.600], [0.000, 0.000, 0.000], [0.402, 0.200, 0.199], [0.101, 0.301, 0.800], [0.598, 0.800, 0.801], [0.899, 0.699, 0.200], [0.301, 0.902, 0.402], [0.699, 0.098, 0.598]], "spacegroup": "No. 2", "relative_energy_mev_per_atom": 0}



Entry 6:
{"formula": "Tb7PmEr4", "functional": "PBE-GGA", "state": "relaxed", "lattice": [[-2.125, -5.454, -0.448], [-0.628, -3.807, 10.854], [-6.650, -0.589, 0.250]], "species": ["Tb", "Tb", "Tb", "Tb", "Tb", "Tb", "Tb", "Pm", "Er", "Er", "Er", "Er"], "frac_coords": [[0.789, 0.922, 0.499], [0.211, 0.078, 0.501], [0.059, 0.672, 0.211], [0.941, 0.328, 0.789], [0.367, 0.503, 0.763], [0.500, 0.000, 0.000], [0.633, 0.497, 0.237], [0.000, 0.000, 0.000], [0.634, 0.225, 0.507], [0.366, 0.775, 0.493], [0.749, 0.684, 0.818], [0.251, 0.316, 0.182]], "spacegroup": "No. 12", "relative_energy_mev_per_atom": 277}



Entry 7:
{"formula": "TbPm10Er6", "functional": "PBE-GGA", "state": "relaxed", "lattice": [[6.868, 0.000, 0.000], [0.000, 8.466, -4.888], [0.000, 0.000, 9.776]], "species": ["Tb", "Pm", "Pm", "Pm", "Pm", "Pm", "Pm", "Pm", "Pm", "Pm", "Pm", "Er", "Er", "Er", "Er", "Er", "Er"], "frac_coords": [[0.500, 0.000, 0.000], [0.817, 0.724, 0.724], [0.817, 0.000, 0.276], [0.817, 0.276, 0.000], [0.183, 0.276, 0.276], [0.183, 0.000, 0.724], [0.183, 0.724, 0.000], [0.500, 0.333, 0.667], [0.500, 0.667, 0.333], [0.000, 0.667, 0.333], [0.000, 0.333, 0.667], [0.690, 0.370, 0.370], [0.690, 0.000, 0.630], [0.690, 0.630, 0.000], [0.310, 0.630, 0.630], [0.310, 0.000, 0.370], [0.310, 0.370, 0.000]], "spacegroup": "No. 162"}



Entry 8:
{"formula": "Tb2Pm5Er4", "functional": "PBE-GGA", "state": "relaxed", "lattice": [[3.516, 0.000, 0.000], [0.000, 9.088, 0.000], [-1.758, -4.544, 11.719]], "species": ["Tb", "Tb", "Pm", "Pm", "Pm", "Pm", "Pm", "Er", "Er", "Er", "Er"], "frac_coords": [[0.269, 0.269, 0.538], [0.731, 0.731, 0.462], [0.855, 0.055, 0.709], [0.855, 0.654, 0.709], [0.145, 0.346, 0.291], [0.145, 0.945, 0.291], [0.500, 0.000, 0.000], [0.000, 0.314, 0.000], [0.597, 0.597, 0.193], [0.000, 0.686, 0.000], [0.403, 0.403, 0.807]], "spacegroup": "No. 71", "relative_energy_mev_per_atom": 123}



Entry 9:
{"formula": "Tb8Pm2Er", "functional": "PBE-GGA", "state": "relaxed", "lattice": [[5.664, 1.654, 0.000], [2.612, 8.649, 0.000], [1.306, 4.324, 8.087]], "species": ["Tb", "Tb", "Tb", "Tb", "Tb", "Tb", "Tb", "Tb", "Pm", "Pm", "Er"], "frac_coords": [[0.824, 0.099, 0.232], [0.824, 0.330, 0.768], [0.296, 0.426, 0.000], [0.500, 0.793, 0.413], [0.500, 0.207, 0.587], [0.704, 0.574, 0.000], [0.176, 0.670, 0.232], [0.176, 0.901, 0.768], [0.000, 0.307, 0.385], [0.000, 0.693, 0.615], [0.500, 0.000, 0.000]], "spacegroup": "No. 12", "relative_energy_mev_per_atom": 138}



Entry 10:
{"formula": "Tb2PmEr9", "functional": "PBE-GGA", "state": "relaxed", "lattice": [[4.988, 0.000, 0.000], [0.000, 4.988, 0.000], [0.000, 0.000, 14.962]], "species": ["Tb", "Tb", "Pm", "Er", "Er", "Er", "Er", "Er", "Er", "Er", "Er", "Er"], "frac_coords": [[0.000, 0.000, 0.334], [0.000, 0.000, 0.666], [0.000, 0.000, 0.000], [0.500, 0.500, 0.000], [0.500, 0.500, 0.334], [0.500, 0.500, 0.666], [0.500, 0.000, 0.168], [0.500, 0.000, 0.500], [0.500, 0.000, 0.832], [0.000, 0.500, 0.168], [0.000, 0.500, 0.500], [0.000, 0.500, 0.832]], "spacegroup": "No. 123", "relative_energy_mev_per_atom": 0}



Entry 11:
{"formula": "TbPm6Er2", "functional": "PBE-GGA", "state": "relaxed", "lattice": [[-2.446, -0.385, 2.630], [-4.518, -5.673, -5.054], [8.231, -1.650, 9.908]], "species": ["Tb", "Pm", "Pm", "Pm", "Pm", "Pm", "Pm", "Er", "Er"], "frac_coords": [[0.000, 0.000, 0.000], [0.891, 0.553, 0.218], [0.109, 0.447, 0.782], [0.666, 0.669, 0.670], [0.779, 0.108, 0.442], [0.221, 0.892, 0.558], [0.334, 0.331, 0.330], [0.445, 0.778, 0.110], [0.555, 0.222, 0.890]], "spacegroup": "No. 2", "relative_energy_mev_per_atom": 0}



Entry 12:
{"formula": "TbPm2Er12", "functional": "PBE-GGA", "state": "relaxed", "lattice": [[0.281, -5.882, 2.772], [5.567, -1.342, 3.094], [-6.693, 14.519, 19.458]], "species": ["Tb", "Tb", "Pm", "Pm", "Pm", "Pm", "Er", "Er", "Er", "Er", "Er", "Er", "Er", "Er", "Er", "Er", "Er", "Er", "Er", "Er", "Er", "Er", "Er", "Er", "Er", "Er", "Er", "Er", "Er", "Er"], "frac_coords": [[0.500, 0.000, 0.000], [0.000, 0.500, 0.000], [0.524, 0.110, 0.274], [0.024, 0.610, 0.274], [0.976, 0.390, 0.726], [0.476, 0.890, 0.726], [0.558, 0.348, 0.809], [0.058, 0.848, 0.809], [0.617, 0.819, 0.867], [0.435, 0.534, 0.934], [0.083, 0.080, 0.333], [0.065, 0.966, 0.066], [0.540, 0.233, 0.541], [0.583, 0.580, 0.333], [0.116, 0.319, 0.867], [0.883, 0.681, 0.133], [0.096, 0.206, 0.597], [0.960, 0.267, 0.459], [0.917, 0.920, 0.667], [0.404, 0.294, 0.403], [0.384, 0.181, 0.133], [0.904, 0.794, 0.403], [0.596, 0.706, 0.597], [0.942, 0.152, 0.191], [0.040, 0.733, 0.541], [0.417, 0.420, 0.667], [0.935, 0.034, 0.935], [0.442, 0.652, 0.191], [0.460, 0.767, 0.459], [0.565, 0.466, 0.065]], "spacegroup": "No. 2"}



Number 1: V 32.56 Å³ per atom, total energy -110.27 eV per cell, E_form 50 meV/atom. Number 2: V 32.58 Å³ per atom, total energy -41.88 eV per cell, E_form 15 meV/atom. Number 3: V 40.88 Å³ per atom, total energy -40.48 eV per cell, E_form 653 meV/atom. Number 4: V 34.38 Å³ per atom, total energy -51.76 eV per cell, E_form 307 meV/atom. Number 5: V 31.70 Å³ per atom, total energy -46.06 eV per cell, E_form 19 meV/atom. Number 6: V 32.71 Å³ per atom, total energy -52.12 eV per cell, E_form 274 meV/atom. Number 7: V 33.44 Å³ per atom, total energy -77.32 eV per cell, E_form 129 meV/atom. Number 8: V 34.04 Å³ per atom, total energy -49.11 eV per cell, E_form 196 meV/atom. Number 9: V 32.84 Å³ per atom, total energy -49.40 eV per cell, E_form 155 meV/atom. Number 10: V 31.02 Å³ per atom, total energy -54.80 eV per cell, E_form 23 meV/atom. Number 11: V 33.23 Å³ per atom, total energy -42.11 eV per cell, E_form 17 meV/atom. Number 12: V 31.27 Å³ per atom, total energy -136.18 eV per cell, E_form 53 meV/atom.